Record 1
Here is crystalline Ba2ZnSi2O7 at its relaxed geometry from the Alexandria database. Energies are from PBE-GGA.

## Properties
- DFT total energy: -167.03 eV for the cell shown
- Raw formation energy: -3169 kJ/mol of formula units
- Magnetization: 0.00 μB per formula unit

Geometry as POSCAR:
```
Ba2ZnSi2O7
1.0
4.276 -5.435 0.000
4.276 5.435 0.000
-3.053 0.000 7.996
Ba Zn Si O
4 2 4 14
direct
0.186 0.269 0.475
0.269 0.186 0.975
0.731 0.814 0.025
0.814 0.731 0.525
0.258 0.742 0.250
0.742 0.258 0.750
0.167 0.606 0.863
0.394 0.833 0.637
0.606 0.167 0.363
0.833 0.394 0.137
0.023 0.761 0.867
0.043 0.359 0.766
0.239 0.977 0.633
0.324 0.621 0.044
0.334 0.666 0.750
0.359 0.043 0.266
0.379 0.676 0.456
0.621 0.324 0.544
0.641 0.957 0.734
0.666 0.334 0.250
0.676 0.379 0.956
0.761 0.023 0.367
0.957 0.641 0.234
0.977 0.239 0.133
```

Record 2
Here is crystalline BaZrSiO5 at its relaxed geometry from the Alexandria database. Energies are from PBE-GGA.

## Properties
- DFT total energy: -130.50 eV for the cell shown
- Raw formation energy: -2370 kJ/mol of formula units
- Magnetization: 0.00 μB per formula unit

Geometry as POSCAR:
```
BaZrSiO5
1.0
3.571 -4.762 0.000
3.571 4.762 0.000
-3.119 0.000 7.020
Ba Zr Si O
2 2 2 10
direct
0.166 0.834 0.750
0.834 0.166 0.250
0.500 0.500 0.000
0.500 0.500 0.500
0.187 0.813 0.250
0.813 0.187 0.750
0.103 0.267 0.892
0.205 0.627 0.381
0.267 0.103 0.392
0.373 0.795 0.119
0.433 0.567 0.750
0.567 0.433 0.250
0.627 0.205 0.881
0.733 0.897 0.608
0.795 0.373 0.619
0.897 0.733 0.108
```

Record 3
Here is crystalline Ba2ZrSiO6 at its relaxed geometry from the Alexandria database. Energies are from PBE-GGA.

## Properties
- DFT total energy: -75.60 eV for the cell shown
- Raw formation energy: -2705 kJ/mol of formula units
- Magnetization: 0.00 μB per formula unit

Geometry as POSCAR:
```
Ba2ZrSiO6
1.0
5.930 0.000 0.000
-2.965 5.136 0.000
0.000 0.000 5.251
Ba Zr Si O
2 1 1 6
direct
0.333 0.667 0.161
0.667 0.333 0.839
0.000 0.000 0.500
0.000 0.000 0.000
0.144 0.289 0.790
0.144 0.856 0.790
0.289 0.144 0.210
0.711 0.856 0.790
0.856 0.144 0.210
0.856 0.711 0.210
```

Record 4
Here is crystalline BaSmO at its relaxed geometry from the Alexandria database. Energies are from PBE-GGA.

## Properties
- DFT total energy: -31.23 eV for the cell shown
- Raw formation energy: -387 kJ/mol of formula units
- Magnetization: 0.52 μB per formula unit

Geometry as POSCAR:
```
BaSmO
1.0
13.770 0.000 0.000
0.000 1.777 3.539
0.000 -1.777 3.539
Ba Sm O
2 2 2
direct
0.124 0.000 0.000
0.876 0.000 0.000
0.381 0.702 0.702
0.619 0.702 0.702
0.000 0.347 0.347
0.500 0.205 0.205
```

Record 5
Here is crystalline BaSmO2 at its relaxed geometry from the Alexandria database. Energies are from PBE-GGA.

## Properties
- Energy relative to the lowest polymorph listed for this composition: 1.52 eV/f.u.
- DFT total energy: -103.17 eV for the cell shown
- Raw formation energy: -891 kJ/mol of formula units
- Magnetization: 0.00 μB per formula unit

Geometry as POSCAR:
```
BaSmO2
1.0
6.655 0.000 0.000
0.000 3.498 0.000
0.000 0.000 13.634
Ba Sm O
4 4 8
direct
0.002 0.250 0.130
0.498 0.750 0.630
0.502 0.250 0.370
0.998 0.750 0.870
0.017 0.250 0.392
0.483 0.750 0.892
0.517 0.250 0.108
0.983 0.750 0.608
0.173 0.750 0.311
0.202 0.250 0.534
0.298 0.750 0.034
0.327 0.250 0.811
0.673 0.750 0.189
0.702 0.250 0.966
0.798 0.750 0.466
0.827 0.250 0.689
```

Record 6
Here is crystalline BaSmO2 at its relaxed geometry from the Alexandria database. Energies are from PBE-GGA.

## Properties
- Energy relative to the lowest polymorph listed for this composition: 0.00 eV/f.u.
- DFT total energy: -27.31 eV for the cell shown
- Raw formation energy: -1037 kJ/mol of formula units
- Magnetization: 0.00 μB per formula unit

Geometry as POSCAR:
```
BaSmO2
1.0
1.821 1.052 6.331
-1.821 1.052 6.331
0.000 -2.103 6.331
Ba Sm O
1 1 2
direct
0.000 0.000 0.000
0.500 0.500 0.500
0.230 0.230 0.230
0.770 0.770 0.770
```

Record 7
Here is crystalline BaSm2O4 at its relaxed geometry from the Alexandria database. Energies are from PBE-GGA.

## Properties
- DFT total energy: -213.69 eV for the cell shown
- Raw formation energy: -2145 kJ/mol of formula units
- Magnetization: 0.00 μB per formula unit

Geometry as POSCAR:
```
BaSm2O4
1.0
10.659 0.000 0.000
0.000 3.581 0.000
0.000 0.000 12.458
Ba Sm O
4 8 16
direct
0.248 0.250 0.148
0.252 0.750 0.648
0.748 0.250 0.352
0.752 0.750 0.852
0.077 0.250 0.389
0.077 0.250 0.889
0.423 0.750 0.389
0.423 0.750 0.889
0.577 0.250 0.111
0.577 0.250 0.611
0.923 0.750 0.111
0.923 0.750 0.611
0.017 0.750 0.782
0.071 0.250 0.575
0.119 0.750 0.019
0.210 0.750 0.335
0.290 0.250 0.835
0.381 0.250 0.519
0.429 0.750 0.075
0.483 0.250 0.282
0.517 0.750 0.718
0.571 0.250 0.925
0.619 0.750 0.481
0.710 0.750 0.165
0.790 0.250 0.665
0.881 0.250 0.981
0.929 0.750 0.425
0.983 0.250 0.218
```

Record 8
Here is crystalline Ba2SmO at its relaxed geometry from the Alexandria database. Energies are from PBE-GGA.

## Properties
- DFT total energy: -17.31 eV for the cell shown
- Raw formation energy: -366 kJ/mol of formula units
- Magnetization: 0.00 μB per formula unit

Geometry as POSCAR:
```
Ba2SmO
1.0
1.915 1.106 10.669
-1.915 1.106 10.669
0.000 -2.211 10.669
Ba Sm O
2 1 1
direct
0.117 0.117 0.117
0.883 0.883 0.883
0.000 0.000 0.000
0.500 0.500 0.500
```

Record 9
Here is crystalline Ba4SmO5 at its relaxed geometry from the Alexandria database. Energies are from PBE-GGA.

## Properties
- DFT total energy: -62.66 eV for the cell shown
- Raw formation energy: -2456 kJ/mol of formula units
- Magnetization: 0.00 μB per formula unit

Geometry as POSCAR:
```
Ba4SmO5
1.0
-4.317 4.317 2.775
4.317 -4.317 2.775
4.317 4.317 -2.775
Ba Sm O
4 1 5
direct
0.103 0.301 0.404
0.301 0.897 0.197
0.699 0.103 0.803
0.897 0.699 0.596
0.531 0.531 0.000
0.235 0.589 0.826
0.410 0.235 0.646
0.589 0.763 0.354
0.763 0.410 0.174
0.940 0.940 0.000
```

Record 10
Here is crystalline BaSmO2 at its relaxed geometry from the Alexandria database. Energies are from PBE-GGA.

## Properties
- Energy relative to the lowest polymorph listed for this composition: 0.47 eV/f.u.
- DFT total energy: -26.84 eV for the cell shown
- Raw formation energy: -992 kJ/mol of formula units
- Magnetization: 0.29 μB per formula unit

Geometry as POSCAR:
```
BaSmO2
1.0
1.804 1.042 6.643
-1.804 1.042 6.643
0.000 -2.083 6.643
Ba Sm O
1 1 2
direct
0.000 0.000 0.000
0.174 0.174 0.174
0.569 0.569 0.569
0.779 0.779 0.779
```

Record 11
Here is crystalline Ba2SmO4 at its relaxed geometry from the Alexandria database. Energies are from PBE-GGA.

## Properties
- DFT total energy: -93.11 eV for the cell shown
- Raw formation energy: -1752 kJ/mol of formula units
- Magnetization: 1.05 μB per formula unit

Geometry as POSCAR:
```
Ba2SmO4
1.0
6.522 0.000 0.000
0.000 11.088 0.000
0.000 0.000 3.760
Ba Sm O
4 2 8
direct
0.060 0.176 0.000
0.440 0.676 0.000
0.560 0.324 0.000
0.940 0.824 0.000
0.000 0.500 0.500
0.500 0.000 0.500
0.141 0.691 0.500
0.220 0.457 0.000
0.280 0.957 0.000
0.359 0.191 0.500
0.641 0.809 0.500
0.720 0.043 0.000
0.780 0.543 0.000
0.859 0.309 0.500
```

Record 12
Here is crystalline Ba2SmSnO5 at its relaxed geometry from the Alexandria database. Energies are from PBE-GGA.

## Properties
- DFT total energy: -118.58 eV for the cell shown
- Raw formation energy: -2116 kJ/mol of formula units
- Magnetization: 0.00 μB per formula unit

Geometry as POSCAR:
```
Ba2SmSnO5
1.0
1.854 -7.688 0.000
1.854 7.688 0.000
0.000 0.000 11.585
Ba Sm Sn O
4 2 2 10
direct
0.120 0.880 0.500
0.133 0.867 0.063
0.867 0.133 0.563
0.880 0.120 0.000
0.223 0.777 0.788
0.777 0.223 0.288
0.491 0.509 0.264
0.509 0.491 0.764
0.061 0.939 0.820
0.281 0.719 0.421
0.292 0.708 0.158
0.373 0.627 0.792
0.499 0.501 0.587
0.501 0.499 0.087
0.627 0.373 0.292
0.708 0.292 0.658
0.719 0.281 0.921
0.939 0.061 0.320
```